## CsMg2Pt2 (PBE-GGA)

Data for a geometry-optimized CsMg2Pt2 structure.

Values from the calculation:
SG: P4/mbm, No. 127
energy relative to the elements: -0.329 eV/atom
crystal system: tetragonal
calculated volume: 216 Å³/cell

Cell lengths 8.3723, 8.3723, 3.0744 Å; angles 90.00, 90.00, 90.00 degrees
Last column: nearest neighbours and their distance in Å.
Atoms (fractional coordinates):
Cs: 0.0000 0.0000 0.0000  2 Cs 3.07, 4 Pt 3.19
Cs: 0.5000 0.5000 0.0000  2 Cs 3.07, 4 Pt 3.19
Mg: 0.1309 0.3691 0.5000  6 Pt 2.81-3.02, 3 Mg 3.07-3.10
Mg: 0.3691 0.8691 0.5000  6 Pt 2.81-3.02, 3 Mg 3.07-3.10
Mg: 0.6309 0.1309 0.5000  6 Pt 2.81-3.02, 3 Mg 3.07-3.10
Mg: 0.8691 0.6309 0.5000  6 Pt 2.81-3.02, 3 Mg 3.07-3.10
Pt: 0.1492 0.6492 0.0000  6 Mg 2.81-3.02, 2 Pt 3.07
Pt: 0.3508 0.1492 0.0000  6 Mg 2.81-3.02, 2 Pt 3.07
Pt: 0.6492 0.8508 0.0000  6 Mg 2.81-3.02, 2 Pt 3.07
Pt: 0.8508 0.3508 0.0000  6 Mg 2.81-3.02, 2 Pt 3.07